1.
First-principles (GGA-PBE) data for a relaxed BaLaSe3 crystal, as listed in the Alexandria database.

abc: 5.7318 5.7318 5.7318
angles: 90.00 90.00 90.00
With the nearest neighbours (Å) after each atom.
Space group Pm-3m (No. 221)
Unique sites:
Ba (0.0000, 0.0000, 0.0000) (multiplicity 1)  12 Se 4.05
La (0.5000, 0.5000, 0.5000) (multiplicity 1)  6 Se 2.87
Se (0.0000, 0.5000, 0.5000) (multiplicity 3)  2 La 2.87

Output
**Total magnetization**: 0.000 μB/f.u.
**Calculated total energy**: -4.9429 eV per atom

---

2.
First-principles (GGA-PBE) data for a relaxed Ba2LaSe crystal, as listed in the Alexandria database.

abc: 5.0044 5.0044 11.8530
angles: 90.00 90.00 90.00
With the nearest neighbours (Å) after each atom.
Space group I-4m2 (No. 119)
Unique sites:
Ba (0.0000, 0.0000, 0.0000) (multiplicity 2)  4 Se 3.54, 4 Ba 3.88, 4 La 3.88
Ba (0.0000, 0.5000, 0.2500) (multiplicity 2)  4 La 3.54, 4 Ba 3.88, 4 Se 3.88
La (0.0000, 0.5000, 0.7500) (multiplicity 2)  8 Ba 3.54-3.88, 4 Se 3.88
Se (0.0000, 0.0000, 0.5000) (multiplicity 2)  8 Ba 3.54-3.88, 4 La 3.88

Output
**Total magnetization**: 0.013 μB/f.u.
**Calculated total energy**: -3.4384 eV per atom

---

3.
First-principles (GGA-PBE) data for a relaxed Ba2LaSe crystal, as listed in the Alexandria database.

abc: 4.5724 6.8510 11.3417
angles: 90.00 90.00 90.00
With the nearest neighbours (Å) after each atom.
Space group Cmm2 (No. 35)
Unique sites:
Ba (0.0000, 0.0000, 0.0000) (multiplicity 2)  2 Se 3.24
Ba (0.0000, 0.5000, 0.3396) (multiplicity 2)  2 La 4.00, 6 Ba 4.12-4.48
La (0.0000, 0.0000, 0.6292) (multiplicity 2)  2 Se 2.98
Se (0.0000, 0.5000, 0.7980) (multiplicity 2)  2 La 2.98, 2 Ba 3.24

Output
**Total magnetization**: 0.001 μB/f.u.
**Calculated total energy**: -3.7779 eV per atom

---

4.
First-principles (GGA-PBE) data for a relaxed Ba2LaSe crystal, as listed in the Alexandria database.

abc: 5.9629 5.9629 4.2126
angles: 90.00 90.00 90.00
With the nearest neighbours (Å) after each atom.
Space group P4/mmm (No. 123)
Unique sites:
Ba (0.0000, 0.5000, 0.0000) (multiplicity 2)  4 La 3.65, 4 Se 3.65
La (0.0000, 0.0000, 0.5000) (multiplicity 1)  8 Ba 3.65
Se (0.5000, 0.5000, 0.5000) (multiplicity 1)  8 Ba 3.65

Output
**Total magnetization**: 1.042 μB/f.u.
**Calculated total energy**: -3.4828 eV per atom

---

5.
First-principles (GGA-PBE) data for a relaxed BaLa3Se crystal, as listed in the Alexandria database.

abc: 5.8789 5.8789 5.8789
angles: 90.00 90.00 90.00
With the nearest neighbours (Å) after each atom.
Space group Pm-3m (No. 221)
Unique sites:
Ba (0.0000, 0.0000, 0.0000) (multiplicity 1)  6 La 2.94
La (0.0000, 0.0000, 0.5000) (multiplicity 3)  2 Ba 2.94
Se (0.5000, 0.5000, 0.5000) (multiplicity 1)  12 La 4.16

Output
**Total magnetization**: 0.000 μB/f.u.
**Excess energy over the best structure of this formula in the dataset**: 1.219 eV/atom
**Calculated total energy**: -3.3954 eV per atom

---

6.
First-principles (GGA-PBE) data for a relaxed BaLaSe crystal, as listed in the Alexandria database.

abc: 5.5055 5.5129 14.4873
angles: 90.00 90.00 90.00
With the nearest neighbours (Å) after each atom.
Space group Fmm2 (No. 42)
Unique sites:
Ba (0.0000, 0.0000, 0.0000) (multiplicity 4)  4 Se 3.54, 1 La 3.73, 4 Ba 3.90
La (0.0000, 0.0000, 0.7427) (multiplicity 4)  4 Se 3.14
Se (0.0000, 0.0000, 0.3467) (multiplicity 4)  4 La 3.14

Output
**Total magnetization**: 0.000 μB/f.u.
**Excess energy over the best structure of this formula in the dataset**: 0.107 eV/atom
**Calculated total energy**: -4.4763 eV per atom